A plane-wave DFT calculation with PBE was carried out for Na3Pt after structural relaxation.

Cell lengths 4.576, 4.576, 17.081 Å; angles 90.00, 90.00, 90.00 degrees
Space group I4/mmm (No. 139)
Asymmetric unit:
Na  0.000  0.000  0.130 (multiplicity 4)
Na  0.000  0.500  0.000 (multiplicity 4)
Na  0.000  0.500  0.250 (multiplicity 4)
Pt  0.000  0.000  0.371 (multiplicity 4)

calculated volume = 22.4 A^3/atom
energy of formation from the pure elements = -0.03 eV/atom
total moment = 0.00 μB per formula unit